(1)
{"formula": "TePt2W", "functional": "PBE", "state": "optimized geometry", "dos_ef_per_ev_atom": 0.90, "e_form_raw_ev_per_atom": 0.351, "lattice": [[3.141, 0.000, 0.000], [0.000, 4.613, 0.024], [0.000, 3.256, 4.814]], "species": ["Pt", "Te", "Pt", "W"], "fractional_positions": [[0.500, 0.500, 0.000], [0.500, 0.500, 0.500], [0.000, 0.000, 0.000], [0.000, 0.000, 0.500]]}

=====

(2)
{"formula": "Zn2Ni2Ag", "functional": "PBE", "state": "optimized geometry", "formation_energy_ev_per_atom": -0.082, "dos_ef_per_ev_atom": 0.47, "polymorph_energy_mev_per_atom": 0, "lattice": [[7.082, 0.000, 0.000], [0.000, 7.082, 0.000], [0.000, 0.000, 2.721]], "species": ["Ag", "Ni", "Zn", "Ag", "Ni", "Ni", "Zn", "Zn", "Zn", "Ni"], "fractional_positions": [[0.500, 0.500, 0.000], [0.124, 0.376, 0.000], [0.830, 0.330, 0.500], [0.000, 0.000, 0.000], [0.624, 0.124, 0.000], [0.376, 0.876, 0.000], [0.330, 0.170, 0.500], [0.170, 0.670, 0.500], [0.670, 0.830, 0.500], [0.876, 0.624, 0.000]]}

=====

(3)
{"formula": "Y3Tc", "functional": "PBE", "state": "optimized geometry", "formation_energy_ev_per_atom": 0.360, "dos_ef_per_ev_atom": 1.81, "lattice": [[5.862, 0.000, 0.000], [0.000, 5.862, 0.000], [0.000, 0.000, 5.862]], "species": ["Tc", "Y", "Tc", "Y", "Y", "Y", "Y", "Y"], "fractional_positions": [[0.000, 0.000, 0.000], [0.000, 0.250, 0.500], [0.500, 0.500, 0.500], [0.500, 0.000, 0.750], [0.750, 0.500, 0.000], [0.500, 0.000, 0.250], [0.250, 0.500, 0.000], [0.000, 0.750, 0.500]]}

=====

(4)
{"formula": "RbBe2Bi", "functional": "PBE", "state": "optimized geometry", "formation_energy_ev_per_atom": 0.602, "dos_ef_per_ev_atom": 0.09, "lattice": [[-4.703, 0.451, -2.138], [1.718, -2.372, -4.280], [-3.803, -8.811, 0.215]], "species": ["Bi", "Be", "Rb", "Be", "Rb", "Be", "Be", "Bi"], "fractional_positions": [[0.000, 0.000, 0.000], [0.875, 0.125, 0.250], [0.250, 0.750, 0.500], [0.875, 0.125, 0.750], [0.500, 0.500, 0.000], [0.875, 0.625, 0.250], [0.375, 0.125, 0.750], [0.750, 0.250, 0.500]]}

=====

(5)
{"formula": "InAg3", "functional": "PBE", "state": "optimized geometry", "formation_energy_ev_per_atom": 0.047, "dos_ef_per_ev_atom": 0.24, "lattice": [[3.074, 0.000, 0.000], [-1.537, 2.662, 0.000], [0.000, 0.000, 9.507]], "species": ["Ag", "Ag", "In", "Ag"], "fractional_positions": [[0.000, 0.000, 0.006], [0.667, 0.333, 0.250], [0.667, 0.333, 0.750], [0.000, 0.000, 0.494]]}

=====

(6)
{"formula": "B2C", "functional": "PBE", "state": "optimized geometry", "formation_energy_ev_per_atom": 0.464, "dos_ef_per_ev_atom": 0.16, "polymorph_energy_mev_per_atom": 278, "lattice": [[-1.560, 0.440, -1.778], [2.908, -2.625, -3.202], [-4.135, -5.057, 2.379]], "species": ["C", "B", "B", "C", "C", "B", "C", "B", "B", "B", "B", "B"], "fractional_positions": [[0.750, 0.282, 0.357], [0.750, 0.950, 0.314], [0.250, 0.746, 0.408], [0.250, 0.416, 0.299], [0.250, 0.718, 0.643], [0.250, 0.073, 0.935], [0.750, 0.584, 0.701], [0.750, 0.254, 0.592], [0.250, 0.050, 0.686], [0.750, 0.927, 0.065], [0.750, 0.577, 0.934], [0.250, 0.423, 0.066]]}

=====

(7)
{"formula": "LaNdYTl", "functional": "PBE", "state": "optimized geometry", "formation_energy_ev_per_atom": -0.074, "dos_ef_per_ev_atom": 1.39, "lattice": [[5.646, 0.000, 0.000], [2.823, 4.889, 0.000], [2.823, 1.630, 4.610]], "species": ["Nd", "Tl", "Y", "La"], "fractional_positions": [[0.250, 0.250, 0.250], [0.000, 0.000, 0.000], [0.500, 0.500, 0.500], [0.750, 0.750, 0.750]]}

=====

(8)
{"formula": "Tb3NdEr8", "functional": "PBE", "state": "optimized geometry", "formation_energy_ev_per_atom": 0.009, "dos_ef_per_ev_atom": 1.83, "lattice": [[7.968, -1.343, -2.288], [-5.706, 6.054, -1.150], [1.081, 1.332, 8.227]], "species": ["Er", "Nd", "Tb", "Er", "Er", "Er", "Er", "Er", "Tb", "Er", "Tb", "Er"], "fractional_positions": [[0.498, 0.832, 0.666], [0.834, 0.834, 0.000], [0.499, 0.750, 0.251], [0.834, 0.252, 0.084], [0.834, 0.750, 0.582], [0.164, 0.332, 0.832], [0.168, 0.253, 0.418], [0.166, 0.832, 0.334], [0.499, 0.249, 0.749], [0.168, 0.750, 0.916], [0.833, 0.333, 0.500], [0.500, 0.332, 0.168]]}

=====

(9)
{"formula": "MgBi2", "functional": "PBE", "state": "optimized geometry", "formation_energy_ev_per_atom": -0.027, "dos_ef_per_ev_atom": 0.38, "lattice": [[1.794, 6.912, 0.027], [-1.794, 6.912, 0.027], [0.000, 2.574, 7.311]], "species": ["Bi", "Bi", "Mg", "Mg", "Bi", "Bi"], "fractional_positions": [[0.157, 0.157, 0.984], [0.843, 0.843, 0.016], [0.209, 0.209, 0.351], [0.791, 0.791, 0.649], [0.558, 0.558, 0.650], [0.442, 0.442, 0.350]]}

=====

(10)
{"formula": "PmMg6Sn4", "functional": "PBE", "state": "optimized geometry", "formation_energy_ev_per_atom": -0.212, "dos_ef_per_ev_atom": 0.49, "lattice": [[-0.038, 3.156, 2.972], [-6.511, -3.914, 4.074], [8.148, -1.878, 2.098]], "species": ["Sn", "Mg", "Sn", "Mg", "Mg", "Mg", "Mg", "Mg", "Sn", "Pm", "Sn"], "fractional_positions": [[0.000, 0.333, 0.667], [0.500, 0.201, 0.402], [0.500, 0.357, 0.179], [0.000, 0.538, 0.462], [0.500, 0.201, 0.799], [0.500, 0.598, 0.799], [0.000, 0.538, 0.075], [0.000, 0.925, 0.462], [0.500, 0.821, 0.179], [0.000, 0.000, 0.000], [0.500, 0.821, 0.643]]}

=====

(11)
{"formula": "TlRe2W", "functional": "PBE", "state": "optimized geometry", "formation_energy_ev_per_atom": 0.566, "dos_ef_per_ev_atom": 0.53, "polymorph_energy_mev_per_atom": 0, "lattice": [[2.896, 0.000, 0.000], [0.000, 2.896, 0.000], [0.000, 0.000, 8.239]], "species": ["Re", "W", "Tl", "Re"], "fractional_positions": [[0.500, 0.500, 0.217], [0.500, 0.500, 0.779], [0.000, 0.000, 0.494], [0.000, 0.000, 0.010]]}

=====

(12)
{"formula": "Cs2TlCdF6", "functional": "PBE", "state": "optimized geometry", "dos_ef_per_ev_atom": 0.30, "e_form_raw_ev_per_atom": -2.314, "lattice": [[-2.523, -5.273, 3.086], [3.616, -3.980, -3.844], [4.031, -4.470, 2.737]], "species": ["F", "Cd", "Cs", "F", "F", "F", "Tl", "F", "Cs", "F"], "fractional_positions": [[0.258, 0.742, 0.000], [0.500, 0.500, 0.000], [0.250, 0.750, 0.500], [0.258, 0.258, 0.484], [0.742, 0.742, 0.516], [0.742, 0.258, 0.000], [0.000, 0.000, 0.000], [0.742, 0.742, 0.000], [0.750, 0.250, 0.500], [0.258, 0.258, 0.000]]}

=====

(13)
{"formula": "BaFe2GeTe", "functional": "PBE", "state": "optimized geometry", "dos_ef_per_ev_atom": 1.32, "e_form_raw_ev_per_atom": 1.816, "lattice": [[5.151, 0.000, 0.000], [0.000, 5.798, 0.000], [0.000, 0.000, 5.151]], "species": ["Ge", "Fe", "Fe", "Te", "Ba"], "fractional_positions": [[0.000, 0.500, 0.000], [0.000, 0.000, 0.500], [0.500, 0.000, 0.000], [0.500, 0.500, 0.500], [0.000, 0.000, 0.000]]}

=====

(14)
{"formula": "Rb4Cd3Ag", "functional": "PBE", "state": "optimized geometry", "formation_energy_ev_per_atom": -0.031, "dos_ef_per_ev_atom": 0.46, "lattice": [[5.470, 0.000, 0.000], [0.000, 5.091, 0.000], [0.000, 0.000, 13.278]], "species": ["Rb", "Cd", "Rb", "Rb", "Ag", "Cd", "Cd", "Rb"], "fractional_positions": [[0.500, 0.500, 0.345], [0.000, 0.000, 0.443], [0.000, 0.500, 0.861], [0.500, 0.000, 0.649], [0.500, 0.500, 0.052], [0.500, 0.000, 0.950], [0.000, 0.500, 0.555], [0.000, 0.000, 0.145]]}

=====

(15)
{"formula": "LaPmAsN", "functional": "PBE", "state": "optimized geometry", "e_form_raw_ev_per_atom": -1.084, "lattice": [[-0.146, 4.442, 2.118], [-2.893, 0.770, 3.909], [6.545, -0.932, 8.128]], "species": ["As", "La", "N", "As", "N", "Pm", "Pm", "La"], "fractional_positions": [[0.893, 0.893, 0.321], [0.781, 0.781, 0.657], [0.701, 0.701, 0.896], [0.107, 0.107, 0.679], [0.299, 0.299, 0.104], [0.629, 0.629, 0.114], [0.371, 0.371, 0.886], [0.219, 0.219, 0.343]]}

=====

(16)
{"formula": "LaCdOs3", "functional": "PBE", "state": "optimized geometry", "formation_energy_ev_per_atom": 2.037, "dos_ef_per_ev_atom": 2.26, "polymorph_energy_mev_per_atom": 0, "lattice": [[-4.623, 0.377, 1.515], [-1.518, 0.026, -4.637], [-0.367, -4.865, 0.093]], "species": ["Os", "Cd", "La", "Os", "Os"], "fractional_positions": [[0.000, 0.000, 0.500], [0.000, 0.000, 0.000], [0.500, 0.500, 0.500], [0.500, 0.000, 0.000], [0.000, 0.500, 0.000]]}

=====

(17)
{"formula": "BeHgAu", "functional": "PBE", "state": "optimized geometry", "formation_energy_ev_per_atom": 0.034, "dos_ef_per_ev_atom": 0.27, "polymorph_energy_mev_per_atom": 61, "lattice": [[-1.335, 1.874, -1.799], [-1.994, 0.876, 2.396], [6.356, 8.109, 3.725]], "species": ["Hg", "Au", "Be", "Hg", "Au", "Be"], "fractional_positions": [[0.232, 0.624, 0.595], [0.236, 0.138, 0.307], [0.736, 0.602, 0.404], [0.729, 0.784, 0.834], [0.238, 0.183, 0.042], [0.740, 0.653, 0.160]]}

=====

no.,final energy (eV per atom)
1,-6.693
2,-3.474
3,-7.079
4,-2.473
5,-2.776
6,-7.063
7,-4.705
8,-4.588
9,-3.146
10,-2.969
11,-9.488
12,-3.936
13,-3.506
14,-1.215
15,-6.747
16,-5.869
17,-2.401